VASP calculation (GGA-PBE) on LaNd2Au4 after structural relaxation.

Values from the calculation:
- volume (Å³ per atom) = 27.8

Cell lengths 5.367, 5.367, 13.503 Å; angles 90.00, 90.00, 90.00 degrees
Space group I4/mmm (No. 139)
Unique sites:
1 La 0.000 0.000 0.000
2 Nd 0.000 0.000 0.276
3 Au 0.000 0.500 0.124

***

VASP calculation (GGA-PBE) on LiEuInGe after structural relaxation.

Values from the calculation:
- volume (Å³ per atom) = 23.6

Cell lengths 7.229, 7.229, 7.229 Å; angles 90.00, 90.00, 90.00 degrees
Space group F-43m (No. 216)
Unique sites:
1 Li 0.000 0.000 0.000
2 Eu 0.000 0.000 0.500
3 In 0.250 0.250 0.250
4 Ge 0.250 0.250 0.750

***

VASP calculation (GGA-PBE) on SrSc2W after structural relaxation.

Values from the calculation:
- relative energy among the computed polymorphs (eV/f.u.) = 1.66
- volume (Å³ per atom) = 23.6

Cell lengths 4.726, 4.726, 4.227 Å; angles 90.00, 90.00, 90.00 degrees
Space group P4/mmm (No. 123)
Unique sites:
1 Sr 0.000 0.000 0.000
2 Sc 0.000 0.500 0.500
3 W 0.500 0.500 0.000

***

VASP calculation (GGA-PBE) on CsDy2MnSe4 after structural relaxation.

Values from the calculation:
- volume (Å³ per atom) = 28.1

Cell lengths 4.185, 14.768, 14.548 Å; angles 90.00, 90.00, 90.00 degrees
Space group Cmcm (No. 63)
Unique sites:
1 Cs 0.000 0.106 0.250
2 Dy 0.000 0.369 0.060
3 Mn 0.000 0.171 0.750
4 Se 0.000 0.000 0.000
5 Se 0.000 0.258 0.605
6 Se 0.000 0.422 0.250

***

VASP calculation (GGA-PBE) on Tb6TlTe2Se3 after structural relaxation.

Values from the calculation:
- volume (Å³ per atom) = 27.1

Cell lengths 18.592, 4.142, 8.680 Å; angles 90.00, 103.56, 90.00 degrees
Space group C2/m (No. 12)
Unique sites:
1 Tb 0.005 0.000 0.241
2 Tb 0.158 0.500 0.101
3 Tb 0.168 0.500 0.566
4 Tl 0.000 0.500 0.500
5 Te 0.169 0.000 0.838
6 Se 0.000 0.500 0.000
7 Se 0.170 0.000 0.334

***

VASP calculation (GGA-PBE) on KIrSe2 after structural relaxation.

Values from the calculation:
- volume (Å³ per atom) = 27.1

Cell lengths 7.682, 7.682, 7.352 Å; angles 90.00, 90.00, 90.00 degrees
Space group I-42d (No. 122)
Unique sites:
1 K 0.000 0.000 0.000
2 Ir 0.000 0.000 0.500
3 Se 0.143 0.250 0.625

***

no.,E_tot (Ry per atom)
1,-0.337
2,-0.386
3,-0.444
4,-0.410
5,-0.389
6,-0.346